Below is a relaxed MnMoOs2 crystal, with properties calculated at the PBE level.

Cell: 2.7191 2.7191 26.5615 Å, 90.00 90.00 120.00°
Space group R3m (No. 160, hexagonal axes)
Asymmetric unit:
Mn 0.0000 0.0000 0.0000 x3
Mo 0.0000 0.0000 0.7512 x3
Os 0.0000 0.0000 0.2571 x3
Os 0.0000 0.0000 0.5026 x3

Results
E above lowest polymorph	0.624	eV per formula unit
DFT formation energy	0.20	eV/atom

---

Below is a relaxed MnMoOs2 crystal, with properties calculated at the PBE level.

Cell: 3.847 3.847 3.816 Å, 90.00 90.00 90.00°
Space group P4/mmm (No. 123)
Asymmetric unit:
Mn 0.000 0.000 0.000 x1
Mo 0.500 0.500 0.000 x1
Os 0.000 0.500 0.500 x2

Results
E above lowest polymorph	0.000	eV per formula unit
DFT formation energy	0.04	eV/atom

---

Calculated volume in order - 14.2 14.1 A^3/atom
Calculated energy in order - -10.414 -10.570 eV/atom